# 1
Compound: RbGeSeBr2
Source: Alexandria via LeMat-Bulk
Functional: SCAN
Structure: PBEsol geometry

Lattice parameters (Å, degrees): 4.9461 5.4649 5.4649 90.00 90.00 90.00
Closest atoms and distances in Å follow each position.
Fractional positions:
Ge: 0.0000 0.0000 0.0000  2 Se 2.47, 4 Br 2.73
Se: 0.5000 0.0000 0.0000  2 Ge 2.47
Br: 0.0000 0.0000 0.5000  2 Ge 2.73
Br: 0.0000 0.5000 0.0000  2 Ge 2.73
Rb: 0.5000 0.5000 0.5000  8 Br 3.69, 4 Se 3.86

Properties
Formation energy without anion corrections   -0.8309 eV per atom
DFT total energy   -0.7569 Ha/atom
Density   4.46 g/cm3

***

# 2
Compound: RbZn2GeBr
Source: Alexandria via LeMat-Bulk
Functional: SCAN
Structure: PBEsol geometry

Lattice parameters (Å, degrees): 4.8209 4.8209 6.2416 90.00 90.00 90.00
Closest atoms and distances in Å follow each position.
Fractional positions:
Zn: 0.0000 0.5000 0.0000  2 Ge 2.41
Zn: 0.5000 0.0000 0.0000  2 Ge 2.41
Ge: 0.0000 0.0000 0.0000  4 Zn 2.41
Br: 0.0000 0.0000 0.5000  2 Ge 3.12, 4 Rb 3.41
Rb: 0.5000 0.5000 0.5000  4 Br 3.41

Properties
Formation energy without anion corrections   -0.2086 eV per atom
DFT total energy   -0.6421 Ha/atom
Density   4.22 g/cm3

***

# 3
Compound: ReGeSeBr2
Source: Alexandria via LeMat-Bulk
Functional: SCAN
Structure: PBEsol geometry

Lattice parameters (Å, degrees): 4.6837 5.1029 5.1029 90.00 90.00 90.00
Closest atoms and distances in Å follow each position.
Fractional positions:
Re: 0.0000 0.0000 0.0000  2 Se 2.34, 4 Br 2.55
Ge: 0.5000 0.5000 0.5000  8 Br 3.46, 4 Se 3.61
Se: 0.5000 0.0000 0.0000  2 Re 2.34
Br: 0.0000 0.0000 0.5000  2 Re 2.55
Br: 0.0000 0.5000 0.0000  2 Re 2.55

Properties
Formation energy without anion corrections   0.7176 eV per atom
DFT total energy   -1.0701 Ha/atom
Density   6.78 g/cm3

***

# 4
Compound: GeRh3Br
Source: Alexandria via LeMat-Bulk
Functional: SCAN
Structure: PBEsol geometry

Lattice parameters (Å, degrees): 4.5500 4.5500 4.5500 90.00 90.00 90.00
Closest atoms and distances in Å follow each position.
Fractional positions:
Ge: 0.0000 0.0000 0.0000  6 Rh 2.28
Rh: 0.0000 0.5000 0.0000  2 Ge 2.28
Rh: 0.0000 0.0000 0.5000  2 Ge 2.28
Rh: 0.5000 0.0000 0.0000  2 Ge 2.28
Br: 0.5000 0.5000 0.5000  12 Rh 3.22

Properties
Formation energy without anion corrections   0.7806 eV per atom
DFT total energy   -0.9993 Ha/atom
Density   8.13 g/cm3

***

# 5
Compound: TcGe2RhBr
Source: Alexandria via LeMat-Bulk
Functional: SCAN
Structure: PBEsol geometry

Lattice parameters (Å, degrees): 4.6611 4.8009 4.8009 90.00 90.00 90.00
Closest atoms and distances in Å follow each position.
Fractional positions:
Ge: 0.0000 0.0000 0.5000  2 Tc 2.40
Ge: 0.0000 0.5000 0.0000  2 Tc 2.40
Rh: 0.5000 0.0000 0.0000  2 Tc 2.33
Tc: 0.0000 0.0000 0.0000  2 Rh 2.33, 4 Ge 2.40
Br: 0.5000 0.5000 0.5000  8 Ge 3.35, 4 Rh 3.39

Properties
Formation energy without anion corrections   0.6283 eV per atom
DFT total energy   -0.9064 Ha/atom
Density   6.59 g/cm3

***

# 6
Compound: Ge2S3Br2
Source: Alexandria via LeMat-Bulk
Functional: SCAN
Structure: PBEsol geometry

Lattice parameters (Å, degrees): 9.5841 9.7634 10.0024 91.87 115.29 89.99
Closest atoms and distances in Å follow each position.
Fractional positions:
Ge: 0.7457 0.8264 0.7452  3 S 2.22, 1 Br 2.30
Ge: 0.2543 0.1736 0.2548  3 S 2.22, 1 Br 2.30
Ge: 0.7142 0.5007 0.8367  3 S 2.22-2.23, 1 Br 2.29
Ge: 0.2858 0.4993 0.1633  3 S 2.22-2.23, 1 Br 2.29
Ge: 0.3996 0.7033 0.7046  3 S 2.22-2.23, 1 Br 2.29
Ge: 0.6004 0.2967 0.2954  3 S 2.22-2.23, 1 Br 2.29
Ge: 0.6833 0.7709 0.0481  3 S 2.22-2.23, 1 Br 2.29
Ge: 0.3167 0.2291 0.9519  3 S 2.22-2.23, 1 Br 2.29
S: 0.8094 0.9162 0.9710  2 Ge 2.22
S: 0.1906 0.0838 0.0290  2 Ge 2.22
S: 0.8447 0.6213 0.7414  2 Ge 2.22
S: 0.1553 0.3787 0.2586  2 Ge 2.22
S: 0.4973 0.8416 0.5927  2 Ge 2.22
S: 0.5027 0.1584 0.4073  2 Ge 2.22
S: 0.7734 0.5586 0.0724  2 Ge 2.23
S: 0.2266 0.4414 0.9276  2 Ge 2.23
S: 0.4622 0.4852 0.6961  2 Ge 2.22
S: 0.5378 0.5148 0.3039  2 Ge 2.22
S: 0.4284 0.7821 0.9264  2 Ge 2.22-2.23
S: 0.5716 0.2179 0.0736  2 Ge 2.22-2.23
Br: 0.8701 0.9699 0.6520  1 Ge 2.30
Br: 0.1299 0.0301 0.3480  1 Ge 2.30
Br: 0.1380 0.7043 0.5625  1 Ge 2.29
Br: 0.8620 0.2957 0.4375  1 Ge 2.29
Br: 0.7392 0.8479 0.2849  1 Ge 2.29
Br: 0.2608 0.1521 0.7151  1 Ge 2.29
Br: 0.8002 0.2820 0.8391  1 Ge 2.29
Br: 0.1998 0.7180 0.1609  1 Ge 2.29

Properties
Formation energy without anion corrections   -0.4664 eV per atom
DFT total energy   -0.5735 Ha/atom
Density   3.15 g/cm3

***

# 7
Compound: GeSBr2
Source: Alexandria via LeMat-Bulk
Functional: SCAN
Structure: PBEsol geometry

Lattice parameters (Å, degrees): 3.6041 3.6041 9.0660 78.54 78.54 60.00
Closest atoms and distances in Å follow each position.
Fractional positions:
Ge: 0.5000 0.5000 0.5000  6 Br 2.85
S: 0.0000 0.0000 0.0000  2 Br 2.47
Br: 0.9069 0.9069 0.2794  1 S 2.47
Br: 0.0931 0.0931 0.7206  1 S 2.47

Properties
Formation energy without anion corrections   0.3427 eV per atom
DFT total energy   -0.6088 Ha/atom
Density   4.42 g/cm3

***

# 8
Compound: Ge3SBr
Source: Alexandria via LeMat-Bulk
Functional: SCAN
Structure: PBEsol geometry

Lattice parameters (Å, degrees): 5.0859 5.0859 5.0859 90.00 90.00 90.00
Closest atoms and distances in Å follow each position.
Fractional positions:
Ge: 0.0000 0.5000 0.0000  2 Br 2.54
Ge: 0.0000 0.0000 0.5000  2 Br 2.54
Ge: 0.5000 0.0000 0.0000  2 Br 2.54
S: 0.5000 0.5000 0.5000  12 Ge 3.60
Br: 0.0000 0.0000 0.0000  6 Ge 2.54

Properties
Formation energy without anion corrections   1.3369 eV per atom
DFT total energy   -0.5855 Ha/atom
Density   4.16 g/cm3

***

# 9
Compound: GeSeSBr2
Source: Alexandria via LeMat-Bulk
Functional: SCAN
Structure: PBEsol geometry

Lattice parameters (Å, degrees): 5.0788 5.0778 5.0778 90.00 90.00 90.00
Closest atoms and distances in Å follow each position.
Fractional positions:
S: 0.5000 0.5000 0.5000  4 Se 3.59, 8 Br 3.59
Ge: 0.0000 0.0000 0.0000  4 Br 2.54, 2 Se 2.54
Se: 0.5000 0.0000 0.0000  2 Ge 2.54
Br: 0.0000 0.0000 0.5000  2 Ge 2.54
Br: 0.0000 0.5000 0.0000  2 Ge 2.54

Properties
Formation energy without anion corrections   0.4997 eV per atom
DFT total energy   -0.6263 Ha/atom
Density   4.36 g/cm3

***

# 10
Compound: TaGeS2Br
Source: Alexandria via LeMat-Bulk
Functional: SCAN
Structure: PBEsol geometry

Lattice parameters (Å, degrees): 4.7473 4.8489 4.8489 90.00 90.00 90.00
Closest atoms and distances in Å follow each position.
Fractional positions:
Ge: 0.5000 0.5000 0.5000  8 S 3.39, 4 Ta 3.43
S: 0.0000 0.0000 0.5000  2 Br 2.42
S: 0.0000 0.5000 0.0000  2 Br 2.42
Br: 0.0000 0.0000 0.0000  2 Ta 2.37, 4 S 2.42
Ta: 0.5000 0.0000 0.0000  2 Br 2.37

Properties
Formation energy without anion corrections   1.6364 eV per atom
DFT total energy   -0.8541 Ha/atom
Density   5.92 g/cm3

***

# 11
Compound: GeWSBr2
Source: Alexandria via LeMat-Bulk
Functional: SCAN
Structure: PBEsol geometry

Lattice parameters (Å, degrees): 4.8537 4.8537 4.9781 90.00 90.00 90.00
Closest atoms and distances in Å follow each position.
Fractional positions:
S: 0.0000 0.0000 0.0000  4 Br 2.43, 2 Ge 2.49
Ge: 0.0000 0.0000 0.5000  2 S 2.49
Br: 0.0000 0.5000 0.0000  2 S 2.43
Br: 0.5000 0.0000 0.0000  2 S 2.43
W: 0.5000 0.5000 0.5000  4 Ge 3.43, 8 Br 3.48

Properties
Formation energy without anion corrections   1.6707 eV per atom
DFT total energy   -0.9479 Ha/atom
Density   6.35 g/cm3

***

# 12
Compound: Ge19Sb4Br4
Source: Alexandria via LeMat-Bulk
Functional: SCAN
Structure: PBEsol geometry

Lattice parameters (Å, degrees): 10.7731 10.7731 10.7731 90.00 90.00 90.00
Closest atoms and distances in Å follow each position.
Fractional positions:
Ge: 0.3226 0.3226 0.3226  3 Ge 2.44, 1 Sb 2.60
Ge: 0.6774 0.6774 0.3226  3 Ge 2.44, 1 Sb 2.60
Ge: 0.6774 0.3226 0.6774  3 Ge 2.44, 1 Sb 2.60
Ge: 0.8226 0.8226 0.8226  3 Ge 2.44, 1 Sb 2.60
Ge: 0.3226 0.6774 0.6774  3 Ge 2.44, 1 Sb 2.60
Ge: 0.1774 0.1774 0.8226  3 Ge 2.44, 1 Sb 2.60
Ge: 0.8226 0.1774 0.1774  3 Ge 2.44, 1 Sb 2.60
Ge: 0.1774 0.8226 0.1774  3 Ge 2.44, 1 Sb 2.60
Ge: 0.9897 0.1140 0.3169  3 Ge 2.44-2.47, 1 Sb 2.64
Ge: 0.0103 0.8860 0.3169  3 Ge 2.44-2.47, 1 Sb 2.64
Ge: 0.0103 0.1140 0.6831  3 Ge 2.44-2.47, 1 Sb 2.64
Ge: 0.3169 0.9897 0.1140  3 Ge 2.44-2.47, 1 Sb 2.64
Ge: 0.6140 0.4897 0.8169  3 Ge 2.44-2.47, 1 Sb 2.64
Ge: 0.9897 0.8860 0.6831  3 Ge 2.44-2.47, 1 Sb 2.64
Ge: 0.3169 0.0103 0.8860  3 Ge 2.44-2.47, 1 Sb 2.64
Ge: 0.3860 0.5103 0.8169  3 Ge 2.44-2.47, 1 Sb 2.64
Ge: 0.6831 0.0103 0.1140  3 Ge 2.44-2.47, 1 Sb 2.64
Ge: 0.6140 0.5103 0.1831  3 Ge 2.44-2.47, 1 Sb 2.64
Ge: 0.6831 0.9897 0.8860  3 Ge 2.44-2.47, 1 Sb 2.64
Ge: 0.3860 0.4897 0.1831  3 Ge 2.44-2.47, 1 Sb 2.64
Ge: 0.1140 0.3169 0.9897  3 Ge 2.44-2.47, 1 Sb 2.64
Ge: 0.4897 0.8169 0.6140  3 Ge 2.44-2.47, 1 Sb 2.64
Ge: 0.1140 0.6831 0.0103  3 Ge 2.44-2.47, 1 Sb 2.64
Ge: 0.5103 0.1831 0.6140  3 Ge 2.44-2.47, 1 Sb 2.64
Ge: 0.8860 0.6831 0.9897  3 Ge 2.44-2.47, 1 Sb 2.64
Ge: 0.4897 0.1831 0.3860  3 Ge 2.44-2.47, 1 Sb 2.64
Ge: 0.8860 0.3169 0.0103  3 Ge 2.44-2.47, 1 Sb 2.64
Ge: 0.5103 0.8169 0.3860  3 Ge 2.44-2.47, 1 Sb 2.64
Ge: 0.8169 0.6140 0.4897  3 Ge 2.44-2.47, 1 Sb 2.64
Ge: 0.8169 0.3860 0.5103  3 Ge 2.44-2.47, 1 Sb 2.64
Ge: 0.1831 0.3860 0.4897  3 Ge 2.44-2.47, 1 Sb 2.64
Ge: 0.1831 0.6140 0.5103  3 Ge 2.44-2.47, 1 Sb 2.64
Ge: 0.2500 0.5000 0.0000  4 Ge 2.46
Ge: 0.7500 0.5000 0.0000  4 Ge 2.46
Ge: 0.0000 0.2500 0.5000  4 Ge 2.46
Ge: 0.0000 0.7500 0.5000  4 Ge 2.46
Ge: 0.5000 0.0000 0.2500  4 Ge 2.46
Ge: 0.5000 0.0000 0.7500  4 Ge 2.46
Sb: 0.1830 0.1830 0.1830  4 Ge 2.60-2.64
Sb: 0.8170 0.8170 0.1830  4 Ge 2.60-2.64
Sb: 0.8170 0.1830 0.8170  4 Ge 2.60-2.64
Sb: 0.6830 0.6830 0.6830  4 Ge 2.60-2.64
Sb: 0.1830 0.8170 0.8170  4 Ge 2.60-2.64
Sb: 0.3170 0.3170 0.6830  4 Ge 2.60-2.64
Sb: 0.6830 0.3170 0.3170  4 Ge 2.60-2.64
Sb: 0.3170 0.6830 0.3170  4 Ge 2.60-2.64
Br: 0.2500 0.0000 0.5000  12 Ge 3.47-3.81
Br: 0.7500 0.0000 0.5000  12 Ge 3.47-3.81
Br: 0.5000 0.2500 0.0000  12 Ge 3.47-3.81
Br: 0.5000 0.7500 0.0000  12 Ge 3.47-3.81
Br: 0.0000 0.5000 0.2500  12 Ge 3.47-3.81
Br: 0.0000 0.5000 0.7500  12 Ge 3.47-3.81
Br: 0.0000 0.0000 0.0000  16 Ge 3.31-3.63, 4 Sb 3.41
Br: 0.5000 0.5000 0.5000  16 Ge 3.31-3.63, 4 Sb 3.41

Properties
Formation energy without anion corrections   -0.1276 eV per atom
DFT total energy   -0.8071 Ha/atom
Density   5.81 g/cm3